1.
Computed, not measured: an optimized crystal structure of TiSb2Pd at the PBE level of DFT.

- D(E_F) (states/eV/cell) = 6.31
- magnetization (Bohr magnetons per cell) = 0.00
- uncorrected formation energy (eV per atom) = -0.25

```
data_TiSb2Pd
_chemical_formula_sum 'Ti3 Sb6 Pd3'
_cell_length_a 4.1385
_cell_length_b 4.1385
_cell_length_c 17.8258
_cell_angle_alpha 90.00
_cell_angle_beta 90.00
_cell_angle_gamma 120.00
_space_group_name_H-M_alt 'R 3 m'
_space_group_IT_number 160
_space_group_name_Hall 'R 3 -2"'
loop_
_atom_site_label
_atom_site_fract_x
_atom_site_fract_y
_atom_site_fract_z
_atom_site_occupancy
Ti1 0.0000 0.0000 0.0000 1
Sb1 0.0000 0.0000 0.5831 1
Sb2 0.0000 0.0000 0.7559 1
Pd1 0.0000 0.0000 0.1762 1
```

***

2.
Computed, not measured: an optimized crystal structure of TiSbPd3 at the PBE level of DFT.

- D(E_F) (states/eV/cell) = 9.61
- magnetization (Bohr magnetons per cell) = 0.12
- uncorrected formation energy (eV per atom) = 0.53
- E above lowest polymorph (meV/atom) = 937

```
data_TiSbPd3
_chemical_formula_sum 'Ti1 Sb1 Pd3'
_cell_length_a 4.867
_cell_length_b 4.867
_cell_length_c 4.867
_cell_angle_alpha 90.00
_cell_angle_beta 90.00
_cell_angle_gamma 90.00
_space_group_name_H-M_alt 'P m -3 m'
_space_group_IT_number 221
_space_group_name_Hall '-P 4 2 3'
loop_
_atom_site_label
_atom_site_fract_x
_atom_site_fract_y
_atom_site_fract_z
_atom_site_occupancy
Ti1 0.000 0.000 0.000 1
Sb1 0.500 0.500 0.500 1
Pd1 0.000 0.500 0.500 1
```

***

3.
Computed, not measured: an optimized crystal structure of TiSb2Pd2 at the PBE level of DFT.

- D(E_F) (states/eV/cell) = 4.92
- magnetization (Bohr magnetons per cell) = 0.00
- uncorrected formation energy (eV per atom) = -0.25
- E above lowest polymorph (meV/atom) = 12

```
data_TiSb2Pd2
_chemical_formula_sum 'Ti2 Sb4 Pd4'
_cell_length_a 7.689
_cell_length_b 7.689
_cell_length_c 3.307
_cell_angle_alpha 90.00
_cell_angle_beta 90.00
_cell_angle_gamma 90.00
_space_group_name_H-M_alt 'P 4/m b m'
_space_group_IT_number 127
_space_group_name_Hall '-P 4 2ab'
loop_
_atom_site_label
_atom_site_fract_x
_atom_site_fract_y
_atom_site_fract_z
_atom_site_occupancy
Ti1 0.000 0.000 0.000 1
Sb1 0.163 0.337 0.000 1
Pd1 0.137 0.637 0.500 1
```

***

4.
Computed, not measured: an optimized crystal structure of Ti2SbPd2 at the PBE level of DFT.

- D(E_F) (states/eV/cell) = 6.67
- magnetization (Bohr magnetons per cell) = 0.00
- uncorrected formation energy (eV per atom) = -0.35
- E above lowest polymorph (meV/atom) = 109

```
data_Ti2SbPd2
_chemical_formula_sum 'Ti4 Sb2 Pd4'
_cell_length_a 7.528
_cell_length_b 7.528
_cell_length_c 3.180
_cell_angle_alpha 90.00
_cell_angle_beta 90.00
_cell_angle_gamma 90.00
_space_group_name_H-M_alt 'P 4/m b m'
_space_group_IT_number 127
_space_group_name_Hall '-P 4 2ab'
loop_
_atom_site_label
_atom_site_fract_x
_atom_site_fract_y
_atom_site_fract_z
_atom_site_occupancy
Ti1 0.160 0.340 0.000 1
Sb1 0.000 0.000 0.000 1
Pd1 0.131 0.631 0.500 1
```

***

5.
Computed, not measured: an optimized crystal structure of TiSbPd6 at the PBE level of DFT.

- D(E_F) (states/eV/cell) = 4.97
- magnetization (Bohr magnetons per cell) = 0.00
- uncorrected formation energy (eV per atom) = -0.37
- E above lowest polymorph (meV/atom) = 122

```
data_TiSbPd6
_chemical_formula_sum 'Ti1 Sb1 Pd6'
_cell_length_a 5.104
_cell_length_b 5.124
_cell_length_c 5.125
_cell_angle_alpha 93.75
_cell_angle_beta 93.61
_cell_angle_gamma 93.60
_space_group_name_H-M_alt 'P -1'
_space_group_IT_number 2
_space_group_name_Hall '-P 1'
loop_
_atom_site_label
_atom_site_fract_x
_atom_site_fract_y
_atom_site_fract_z
_atom_site_occupancy
Ti1 0.000 0.000 0.000 1
Sb1 0.500 0.500 0.500 1
Pd1 0.049 0.753 0.442 1
Pd2 0.247 0.560 0.949 1
Pd3 0.442 0.050 0.753 1
```

***

6.
Computed, not measured: an optimized crystal structure of Ti3Sb4Pd3 at the PBE level of DFT.

- D(E_F) (states/eV/cell) = 4.41
- magnetization (Bohr magnetons per cell) = 0.00
- uncorrected formation energy (eV per atom) = -0.41

```
data_Ti3Sb4Pd3
_chemical_formula_sum 'Ti12 Sb16 Pd12'
_cell_length_a 9.243
_cell_length_b 9.243
_cell_length_c 9.243
_cell_angle_alpha 90.00
_cell_angle_beta 90.00
_cell_angle_gamma 90.00
_space_group_name_H-M_alt 'I -4 3 d'
_space_group_IT_number 220
_space_group_name_Hall 'I -4bd 2c 3'
loop_
_atom_site_label
_atom_site_fract_x
_atom_site_fract_y
_atom_site_fract_z
_atom_site_occupancy
Ti1 0.000 0.250 0.875 1
Sb1 0.097 0.403 0.597 1
Pd1 0.000 0.250 0.375 1
```

***

7.
Computed, not measured: an optimized crystal structure of TiSbPd3 at the PBE level of DFT.

- D(E_F) (states/eV/cell) = 5.28
- magnetization (Bohr magnetons per cell) = 0.00
- uncorrected formation energy (eV per atom) = 0.35
- E above lowest polymorph (meV/atom) = 751

```
data_TiSbPd3
_chemical_formula_sum 'Ti1 Sb1 Pd3'
_cell_length_a 4.709
_cell_length_b 4.709
_cell_length_c 4.709
_cell_angle_alpha 90.00
_cell_angle_beta 90.00
_cell_angle_gamma 90.00
_space_group_name_H-M_alt 'P m -3 m'
_space_group_IT_number 221
_space_group_name_Hall '-P 4 2 3'
loop_
_atom_site_label
_atom_site_fract_x
_atom_site_fract_y
_atom_site_fract_z
_atom_site_occupancy
Ti1 0.000 0.000 0.000 1
Sb1 0.500 0.500 0.500 1
Pd1 0.000 0.000 0.500 1
```

***

8.
Computed, not measured: an optimized crystal structure of Ti2SbPd3 at the PBE level of DFT.

- D(E_F) (states/eV/cell) = 22.06
- magnetization (Bohr magnetons per cell) = 3.73
- uncorrected formation energy (eV per atom) = -0.52

```
data_Ti2SbPd3
_chemical_formula_sum 'Ti8 Sb4 Pd12'
_cell_length_a 8.882
_cell_length_b 4.049
_cell_length_c 11.571
_cell_angle_alpha 90.00
_cell_angle_beta 106.56
_cell_angle_gamma 90.00
_space_group_name_H-M_alt 'C 1 2/m 1'
_space_group_IT_number 12
_space_group_name_Hall '-C 2y'
loop_
_atom_site_label
_atom_site_fract_x
_atom_site_fract_y
_atom_site_fract_z
_atom_site_occupancy
Ti1 0.000 0.000 0.000 1
Ti2 0.000 0.000 0.500 1
Ti3 0.168 0.500 0.160 1
Sb1 0.161 0.500 0.670 1
Pd1 0.006 0.000 0.241 1
Pd2 0.161 0.500 0.926 1
Pd3 0.170 0.500 0.418 1
```

***

9.
Computed, not measured: an optimized crystal structure of TiSb2Pd2 at the PBE level of DFT.

- D(E_F) (states/eV/cell) = 3.34
- magnetization (Bohr magnetons per cell) = 0.00
- uncorrected formation energy (eV per atom) = -0.26
- E above lowest polymorph (meV/atom) = 0

```
data_TiSb2Pd2
_chemical_formula_sum 'Ti2 Sb4 Pd4'
_cell_length_a 7.173
_cell_length_b 7.173
_cell_length_c 3.806
_cell_angle_alpha 90.00
_cell_angle_beta 90.00
_cell_angle_gamma 90.00
_space_group_name_H-M_alt 'P 4/m b m'
_space_group_IT_number 127
_space_group_name_Hall '-P 4 2ab'
loop_
_atom_site_label
_atom_site_fract_x
_atom_site_fract_y
_atom_site_fract_z
_atom_site_occupancy
Ti1 0.000 0.000 0.000 1
Sb1 0.177 0.323 0.500 1
Pd1 0.132 0.632 0.000 1
```

***

10.
Computed, not measured: an optimized crystal structure of Ti3SbPd at the PBE level of DFT.

- D(E_F) (states/eV/cell) = 6.24
- magnetization (Bohr magnetons per cell) = 0.00
- uncorrected formation energy (eV per atom) = 0.26
- E above lowest polymorph (meV/atom) = 454

```
data_Ti3SbPd
_chemical_formula_sum 'Ti3 Sb1 Pd1'
_cell_length_a 4.761
_cell_length_b 4.761
_cell_length_c 4.761
_cell_angle_alpha 90.00
_cell_angle_beta 90.00
_cell_angle_gamma 90.00
_space_group_name_H-M_alt 'P m -3 m'
_space_group_IT_number 221
_space_group_name_Hall '-P 4 2 3'
loop_
_atom_site_label
_atom_site_fract_x
_atom_site_fract_y
_atom_site_fract_z
_atom_site_occupancy
Ti1 0.000 0.000 0.500 1
Sb1 0.500 0.500 0.500 1
Pd1 0.000 0.000 0.000 1
```

***

11.
Computed, not measured: an optimized crystal structure of Ti2SbPd8 at the PBE level of DFT.

- D(E_F) (states/eV/cell) = 11.55
- magnetization (Bohr magnetons per cell) = 0.00
- uncorrected formation energy (eV per atom) = -0.47
- E above lowest polymorph (meV/atom) = 44

```
data_Ti2SbPd8
_chemical_formula_sum 'Ti4 Sb2 Pd16'
_cell_length_a 4.222
_cell_length_b 7.096
_cell_length_c 11.936
_cell_angle_alpha 90.00
_cell_angle_beta 90.00
_cell_angle_gamma 90.00
_space_group_name_H-M_alt 'I m m m'
_space_group_IT_number 71
_space_group_name_Hall '-I 2 2'
loop_
_atom_site_label
_atom_site_fract_x
_atom_site_fract_y
_atom_site_fract_z
_atom_site_occupancy
Ti1 0.000 0.000 0.195 1
Sb1 0.000 0.000 0.500 1
Pd1 0.000 0.191 0.000 1
Pd2 0.000 0.281 0.345 1
Pd3 0.000 0.500 0.157 1
```

***

Repeat the third record exactly.
Computed, not measured: an optimized crystal structure of TiSb2Pd2 at the PBE level of DFT.

- D(E_F) (states/eV/cell) = 4.92
- magnetization (Bohr magnetons per cell) = 0.00
- uncorrected formation energy (eV per atom) = -0.25
- E above lowest polymorph (meV/atom) = 12

```
data_TiSb2Pd2
_chemical_formula_sum 'Ti2 Sb4 Pd4'
_cell_length_a 7.689
_cell_length_b 7.689
_cell_length_c 3.307
_cell_angle_alpha 90.00
_cell_angle_beta 90.00
_cell_angle_gamma 90.00
_space_group_name_H-M_alt 'P 4/m b m'
_space_group_IT_number 127
_space_group_name_Hall '-P 4 2ab'
loop_
_atom_site_label
_atom_site_fract_x
_atom_site_fract_y
_atom_site_fract_z
_atom_site_occupancy
Ti1 0.000 0.000 0.000 1
Sb1 0.163 0.337 0.000 1
Pd1 0.137 0.637 0.500 1
```

***

Question: magnetization of number 11 (Ti2SbPd8)?
Answer: 0.00 Bohr magnetons per cell

***

Question: The highest D(E_F) belongs to which entry?
Answer: Ti2SbPd3

***

Question: Which of these has the highest magnetization?
Answer: Ti2SbPd3